## CdSbTe2H (PBE)

Data for CdSbTe2H after structural relaxation.

Values from the calculation:
**SG**: P4/mmm
**N(E_F)**: 3.30 states/eV per cell
**Uncorrected energy**: -12.93 eV per formula unit

abc: 5.482 5.482 3.897
angles: 90.00 90.00 90.00
Positions (direct):
Sb  0.000  0.000  0.500
Te  0.000  0.500  0.000
Te  0.500  0.000  0.000
H  0.000  0.000  0.000
Cd  0.500  0.500  0.500

***

## SbBr2Cl (PBE)

Data for SbBr2Cl after structural relaxation.

Values from the calculation:
**SG**: P4/mmm
**N(E_F)**: 1.13 states/eV per cell
**E_form (uncorrected)**: -0.020 eV/atom

abc: 3.795 3.795 6.876
angles: 90.00 90.00 90.00
Positions (direct):
Sb  0.500  0.500  0.750
Br  0.000  0.000  0.984
Br  0.000  0.000  0.516
Cl  0.500  0.500  0.250

***

## La3Pr2Cd3 (PBE)

Data for La3Pr2Cd3 after structural relaxation.

Values from the calculation:
**DFT formation energy**: -0.2455 eV/atom
**SG**: Immm
**N(E_F)**: 10.29 states/eV per cell

abc: 3.915 5.656 12.039
angles: 103.59 99.36 90.00
Positions (direct):
La  0.622  0.622  0.243
La  0.378  0.378  0.757
La  0.500  0.000  0.000
Pr  0.734  0.234  0.469
Pr  0.266  0.766  0.531
Cd  0.119  0.119  0.239
Cd  0.000  0.500  0.000
Cd  0.881  0.881  0.761